[1]
Here is Cd2Te after structural relaxation from Alexandria. Energies are from GGA-PBE.

abc: 5.7638 5.7638 5.7638
angles: 45.19 45.19 45.19
Fractional coordinates of all 3 atoms:
Cd  0.2214  0.2214  0.2214
Cd  0.7786  0.7786  0.7786
Te  0.0000  0.0000  0.0000

## Properties
- total magnetization (μB per cell) = 0.0
- SG = R-3m
- formation energy (no corrections) (kJ/mol of atoms) = -7.63
- Fermi-level density of states (states/eV per atom) = 0.178
- energy relative to the lowest polymorph listed for this composition (meV per atom) = 93
- crystal system = trigonal

=====

[2]
Here is Cd6Te7 after structural relaxation from Alexandria. Energies are from GGA-PBE.

abc: 9.1325 9.1325 9.1325
angles: 52.67 52.67 52.67
Fractional coordinates of all 13 atoms:
Cd  0.0598  0.0598  0.0598
Cd  0.1780  0.1780  0.1780
Cd  0.3335  0.3335  0.3335
Cd  0.6665  0.6665  0.6665
Cd  0.8220  0.8220  0.8220
Cd  0.9402  0.9402  0.9402
Te  0.0886  0.5798  0.5798
Te  0.4202  0.4202  0.9114
Te  0.4202  0.9114  0.4202
Te  0.5000  0.5000  0.5000
Te  0.5798  0.0886  0.5798
Te  0.5798  0.5798  0.0886
Te  0.9114  0.4202  0.4202

## Properties
- total magnetization (μB per cell) = 0.0
- SG = R-3m
- formation energy (no corrections) (kJ/mol of atoms) = 6.13
- Fermi-level density of states (states/eV per atom) = 0.541
- crystal system = trigonal

=====

[3]
Here is Cd5Te4 after structural relaxation from Alexandria. Energies are from GGA-PBE.

abc: 8.6309 8.6309 8.2180
angles: 90.00 90.00 120.00
Fractional coordinates of all 18 atoms:
Cd  0.0000  0.2504  0.2500
Cd  0.0000  0.7496  0.7500
Cd  0.2504  0.0000  0.2500
Cd  0.2504  0.2504  0.7500
Cd  0.3333  0.6667  0.0000
Cd  0.3333  0.6667  0.5000
Cd  0.6667  0.3333  0.0000
Cd  0.6667  0.3333  0.5000
Cd  0.7496  0.0000  0.7500
Cd  0.7496  0.7496  0.2500
Te  0.0000  0.0000  0.0000
Te  0.0000  0.0000  0.5000
Te  0.0000  0.4237  0.7500
Te  0.0000  0.5763  0.2500
Te  0.4237  0.0000  0.7500
Te  0.4237  0.4237  0.2500
Te  0.5763  0.0000  0.2500
Te  0.5763  0.5763  0.7500

## Properties
- total magnetization (μB per cell) = 0.0
- SG = P6_3/mcm
- formation energy (no corrections) (kJ/mol of atoms) = -13.73
- Fermi-level density of states (states/eV per atom) = 0.338
- energy relative to the lowest polymorph listed for this composition (meV per atom) = 0
- crystal system = hexagonal